Record 1
Entry from Alexandria via LeMat-Bulk: an optimized crystal structure of DyZn3Ga2 (GGA-PBE).

a = 15.303 Å, b = 4.197 Å, c = 7.538 Å
α = 90.00°, β = 116.38°, γ = 90.00°
Space group C2/m (No. 12)
One atom of each set of equivalent atoms:
Dy  0.144  0.000  0.073 [4 per cell]
Zn  0.037  0.000  0.375 [4 per cell]
Zn  0.113  0.500  0.724 [4 per cell]
Zn  0.189  0.500  0.463 [4 per cell]
Ga  0.020  0.500  0.174 [4 per cell]
Ga  0.204  0.000  0.720 [4 per cell]

* ΔE to the lowest computed polymorph: 0.0000 eV/atom

---

Record 2
Entry from Alexandria via LeMat-Bulk: an optimized crystal structure of DyZn3Ga (GGA-PBE).

a = 5.885 Å, b = 5.905 Å, c = 5.988 Å
α = 90.00°, β = 118.63°, γ = 90.00°
Space group Cm (No. 8)
One atom of each set of equivalent atoms:
Dy  0.000  0.000  0.000 [2 per cell]
Zn  0.001  0.246  0.501 [4 per cell]
Zn  0.116  0.500  0.235 [2 per cell]
Ga  0.391  0.000  0.778 [2 per cell]

---

no.,DOS at the Fermi energy (states/eV/cell),DFT formation energy (eV/atom)
1,5.04,-0.32
2,4.85,-0.37